Computed, not measured: an optimized crystal structure of SrMnBeO4 at the GGA+U level of DFT.

abc: 4.8798 5.3079 6.6545
angles: 90.00 108.76 90.00
Site moments in Bohr magnetons follow the coordinates.
Atoms (fractional coordinates):
O (0.9925, 0.0216, 0.6934)  -0.13
O (0.0075, 0.5216, 0.3066)  -0.13
O (0.0075, 0.9784, 0.3066)  -0.13
O (0.5006, 0.2500, 0.4485)  -0.19
O (0.4994, 0.7500, 0.5515)  -0.19
O (0.4326, 0.7500, 0.1682)  -0.07
O (0.9925, 0.4784, 0.6934)  -0.13
O (0.5674, 0.2500, 0.8318)  -0.07
Sr (0.7167, 0.7500, 0.9238)  0.00
Sr (0.2833, 0.2500, 0.0762)  0.00
Be (0.7534, 0.2500, 0.6698)  0.01
Be (0.2466, 0.7500, 0.3302)  0.01
Mn (0.2086, 0.2500, 0.5639)  3.51
Mn (0.7914, 0.7500, 0.4361)  3.51

Summary:
The magnetic moment is 3.000 μB per formula unit. The total DFT energy (no corrections) is -6.709 eV/atom.